Entry 1:
A plane-wave DFT calculation with PBEsol was carried out for Zn2CoTe after structural relaxation.

CIF file:
```
data_Zn2CoTe
_chemical_formula_sum 'Zn6 Co3 Te3'
_space_group_name_H-M_alt 'R 3 m'
_space_group_IT_number 160
_space_group_name_Hall 'R 3 -2"'
_cell_length_a 3.2098
_cell_length_b 3.2098
_cell_length_c 23.1575
_cell_angle_alpha 90.00
_cell_angle_beta 90.00
_cell_angle_gamma 120.00
loop_
_atom_site_label
_atom_site_type_symbol
_atom_site_fract_x
_atom_site_fract_y
_atom_site_fract_z
_atom_site_occupancy
Zn1 Zn 0.0000 0.0000 0.0000 1
Zn2 Zn 0.0000 0.0000 0.2531 1
Co1 Co 0.0000 0.0000 0.5121 1
Te1 Te 0.0000 0.0000 0.7775 1
```

Summary:
For the uncorrected formation energy, the calculation gives 0.211 eV per atom. Its volume is 207 Å³/cell.

Entry 2:
A plane-wave DFT calculation with PBEsol was carried out for ZnCoTe after structural relaxation.

CIF file:
```
data_ZnCoTe
_chemical_formula_sum 'Zn2 Co2 Te2'
_space_group_name_H-M_alt 'I 4 m m'
_space_group_IT_number 107
_space_group_name_Hall 'I 4 -2'
_cell_length_a 3.018
_cell_length_b 3.018
_cell_length_c 11.472
_cell_angle_alpha 90.00
_cell_angle_beta 90.00
_cell_angle_gamma 90.00
loop_
_atom_site_label
_atom_site_type_symbol
_atom_site_fract_x
_atom_site_fract_y
_atom_site_fract_z
_atom_site_occupancy
Zn1 Zn 0.000 0.000 0.000 1
Co1 Co 0.000 0.000 0.625 1
Te1 Te 0.000 0.000 0.255 1
```

Summary:
For the uncorrected formation energy, the calculation gives 0.236 eV per atom. Its volume is 105 Å³/cell. The value obtained for the energy above the most stable polymorph in this dataset is 0.326 eV/atom.

Entry 3:
A plane-wave DFT calculation with PBEsol was carried out for Zn2CoTe after structural relaxation.

CIF file:
```
data_Zn2CoTe
_chemical_formula_sum 'Zn2 Co1 Te1'
_space_group_name_H-M_alt 'P 4/m m m'
_space_group_IT_number 123
_space_group_name_Hall '-P 4 2'
_cell_length_a 3.763
_cell_length_b 3.763
_cell_length_c 4.356
_cell_angle_alpha 90.00
_cell_angle_beta 90.00
_cell_angle_gamma 90.00
loop_
_atom_site_label
_atom_site_type_symbol
_atom_site_fract_x
_atom_site_fract_y
_atom_site_fract_z
_atom_site_occupancy
Zn1 Zn 0.000 0.500 0.000 1
Co1 Co 0.000 0.000 0.500 1
Te1 Te 0.500 0.500 0.500 1
```

Summary:
For the uncorrected formation energy, the calculation gives 0.274 eV per atom. Its volume is 62 Å³/cell.